No. 1
SrLi4Hg2 | PBE-GGA | optimized geometry

Unit cell a=8.5504 b=8.5504 c=4.4400 alpha=90.00 beta=90.00 gamma=90.00
Space group P4_2/mnm (No. 136)
Asymmetric unit:
1 Sr 0.0000 0.0000 0.0000
2 Li 0.0896 0.3489 0.5000
3 Hg 0.2191 0.7809 0.5000

---

No. 2
SrLi4Hg8 | PBE-GGA | optimized geometry

Unit cell a=9.9716 b=9.9716 c=5.7992 alpha=90.00 beta=90.00 gamma=90.00
Space group I4/mmm (No. 139)
Asymmetric unit:
1 Sr 0.0000 0.0000 0.0000
2 Li 0.2500 0.2500 0.2500
3 Hg 0.0000 0.2167 0.5000
4 Hg 0.0000 0.3382 0.0000

---

No. 3
SrLiHg3 | PBE-GGA | optimized geometry

Unit cell a=5.0892 b=5.0892 c=5.0892 alpha=90.00 beta=90.00 gamma=90.00
Space group Pm-3m (No. 221)
Asymmetric unit:
1 Sr 0.0000 0.0000 0.0000
2 Li 0.5000 0.5000 0.5000
3 Hg 0.0000 0.5000 0.5000

Values from the calculation:
The value obtained for the polymorph energy (0 for the lowest one) is 45.6 meV per atom.

---

No. 4
Sr12LiHg6 | PBE-GGA | optimized geometry

Unit cell a=11.5998 b=11.5998 c=11.5998 alpha=90.00 beta=90.00 gamma=90.00
Space group Im-3 (No. 204)
Asymmetric unit:
1 Sr 0.0000 0.2977 0.1805
2 Li 0.0000 0.0000 0.0000
3 Hg 0.0000 0.1316 0.5000

Values from the calculation:
The value obtained for the polymorph energy (0 for the lowest one) is 0.0 meV per atom.

---

No. 5
Sr5Li4Hg | PBE-GGA | optimized geometry

Unit cell a=4.1704 b=4.1704 c=20.8821 alpha=90.00 beta=90.00 gamma=90.00
Space group P4/mmm (No. 123)
Asymmetric unit:
1 Sr 0.0000 0.0000 0.0000
2 Sr 0.0000 0.0000 0.2031
3 Sr 0.0000 0.0000 0.4089
4 Li 0.5000 0.5000 0.1022
5 Li 0.5000 0.5000 0.3047
6 Hg 0.5000 0.5000 0.5000

---

No. 6
SrLiHg2 | PBE-GGA | optimized geometry

Unit cell a=7.4093 b=7.4093 c=7.4093 alpha=90.00 beta=90.00 gamma=90.00
Space group F-43m (No. 216)
Asymmetric unit:
1 Sr 0.0000 0.0000 0.0000
2 Li 0.2500 0.2500 0.2500
3 Hg 0.0000 0.0000 0.5000
4 Hg 0.2500 0.2500 0.7500

---

No. 7
Sr3LiHg12 | PBE-GGA | optimized geometry

Unit cell a=4.8015 b=4.8015 c=18.9213 alpha=90.00 beta=90.00 gamma=90.00
Space group P4/mmm (No. 123)
Asymmetric unit:
1 Sr 0.0000 0.0000 0.0000
2 Sr 0.0000 0.0000 0.2626
3 Li 0.0000 0.0000 0.5000
4 Hg 0.0000 0.5000 0.1297
5 Hg 0.0000 0.5000 0.3904
6 Hg 0.5000 0.5000 0.0000
7 Hg 0.5000 0.5000 0.2555
8 Hg 0.5000 0.5000 0.5000

---

No. 8
Sr6LiHg5 | PBE-GGA | optimized geometry

Unit cell a=5.6854 b=8.0074 c=17.1418 alpha=90.00 beta=90.00 gamma=90.00
Space group Immm (No. 71)
Asymmetric unit:
1 Sr 0.0000 0.2410 0.0000
2 Sr 0.0000 0.2541 0.3301
3 Li 0.0000 0.0000 0.5000
4 Hg 0.0000 0.0000 0.1665
5 Hg 0.0000 0.5000 0.1575
6 Hg 0.0000 0.5000 0.5000

---

No. 9
SrLiHg2 | PBE-GGA | optimized geometry

Unit cell a=4.8771 b=4.8771 c=10.5314 alpha=90.00 beta=90.00 gamma=120.00
Space group P6_3/mmc (No. 194)
Asymmetric unit:
1 Sr 0.3333 0.6667 0.2500
2 Li 0.0000 0.0000 0.0000
3 Hg 0.3333 0.6667 0.5746

---

No. 10
Sr2Li16Hg | PBE-GGA | optimized geometry

Unit cell a=10.2564 b=10.2564 c=14.6245 alpha=90.00 beta=90.00 gamma=120.00
Space group R3m (No. 160, hexagonal axes)
Asymmetric unit:
1 Sr 0.0000 0.0000 0.0000
2 Sr 0.0000 0.0000 0.3121
3 Li 0.0000 0.0000 0.5641
4 Li 0.0006 0.2779 0.6590
5 Li 0.0136 0.5068 0.5090
6 Li 0.1720 0.3440 0.1404
7 Li 0.1741 0.3483 0.4916
8 Hg 0.0000 0.0000 0.7567

---

No. 11
Sr5Li5Hg2 | PBE-GGA | optimized geometry

Unit cell a=17.7659 b=4.6267 c=13.3740 alpha=90.00 beta=131.26 gamma=90.00
Space group C2/m (No. 12)
Asymmetric unit:
1 Sr 0.0000 0.0000 0.0000
2 Sr 0.1167 0.0000 0.4186
3 Sr 0.2050 0.0000 0.8290
4 Li 0.0000 0.5000 0.5000
5 Li 0.0510 0.5000 0.8378
6 Li 0.2398 0.5000 0.6770
7 Hg 0.1477 0.5000 0.2563

---

No. 12
SrLi2Hg10 | PBE-GGA | optimized geometry

Unit cell a=5.9729 b=14.1803 c=15.1441 alpha=90.00 beta=90.00 gamma=90.00
Space group Fmmm (No. 69)
Asymmetric unit:
1 Sr 0.0000 0.0000 0.0000
2 Li 0.2500 0.0000 0.2500
3 Hg 0.0000 0.1047 0.3851
4 Hg 0.0000 0.1591 0.1804
5 Hg 0.2500 0.2500 0.0000

---

Number 1: energy of formation from the pure elements -311 meV/atom, theoretical density 5.3 g cm⁻³. Number 2: energy of formation from the pure elements -319 meV/atom, theoretical density 9.9 g cm⁻³. Number 3: energy of formation from the pure elements -330 meV/atom, theoretical density 8.8 g cm⁻³. Number 4: energy of formation from the pure elements -304 meV/atom, theoretical density 4.8 g cm⁻³. Number 5: energy of formation from the pure elements -90 meV/atom, theoretical density 3.0 g cm⁻³. Number 6: energy of formation from the pure elements -316 meV/atom, theoretical density 8.1 g cm⁻³. Number 7: energy of formation from the pure elements -347 meV/atom, theoretical density 10.2 g cm⁻³. Number 8: energy of formation from the pure elements -453 meV/atom, theoretical density 6.5 g cm⁻³. Number 9: energy of formation from the pure elements -433 meV/atom, theoretical density 7.6 g cm⁻³. Number 10: energy of formation from the pure elements -40 meV/atom, theoretical density 1.8 g cm⁻³. Number 11: energy of formation from the pure elements -160 meV/atom, theoretical density 3.5 g cm⁻³. Number 12: energy of formation from the pure elements -212 meV/atom, theoretical density 10.9 g cm⁻³.